First-principles (PBE+U) data for crystalline HfMnF5 at its relaxed geometry, as listed in Alexandria.

a b c (Å): 5.704 5.704 7.268
angles (deg): 108.54 108.54 75.12
Fractional positions:
Hf1 0.000 0.000 0.000
Hf2 0.000 0.000 0.500
Mn1 0.482 0.518 0.750
Mn2 0.518 0.482 0.250
F1 0.166 0.834 0.750
F2 0.228 0.254 0.622
F3 0.254 0.228 0.122
F4 0.300 0.689 0.039
F5 0.311 0.700 0.461
F6 0.689 0.300 0.539
F7 0.700 0.311 0.961
F8 0.746 0.772 0.878
F9 0.772 0.746 0.378
F10 0.834 0.166 0.250

Calculated values
The calculation puts the total DFT energy (no corrections) at -6.897 eV/atom.